1.
Computed, not measured: crystalline Ho2GaGe at its relaxed geometry at the PBE level of DFT.

formation enthalpy at 0 K: -0.79 eV per atom
spin magnetization: 0.000 μB/cell

Lattice parameters (Å, degrees): 3.984 5.783 8.614 111.88 90.00 90.00
Sites, in units of the cell vectors:
1 Ho 0.750 0.222 0.428
2 Ho 0.250 0.778 0.572
3 Ho 0.250 0.780 0.068
4 Ho 0.750 0.220 0.932
5 Ga 0.750 0.662 0.291
6 Ga 0.250 0.338 0.709
7 Ge 0.250 0.341 0.209
8 Ge 0.750 0.659 0.791

=====

2.
Computed, not measured: crystalline NbTe2I2 at its relaxed geometry at the PBE level of DFT.

raw formation energy: -1.9 eV/f.u.
spin magnetization: 0.000 μB/cell

Lattice parameters (Å, degrees): 7.345 7.368 8.556 78.60 66.63 60.10
Sites, in units of the cell vectors:
1 Nb 0.123 0.754 0.000
2 Nb 0.877 0.246 0.000
3 Te 0.867 0.000 0.305
4 Te 0.649 0.000 0.117
5 Te 0.351 0.000 0.883
6 Te 0.133 0.000 0.695
7 I 0.575 0.421 0.789
8 I 0.425 0.579 0.211
9 I 0.996 0.579 0.789
10 I 0.004 0.421 0.211

=====

3.
Computed, not measured: crystalline ScSb2SN at its relaxed geometry at the PBE level of DFT.

raw formation energy: 0.2 eV/f.u.
spin magnetization: 0.000 μB/cell

Lattice parameters (Å, degrees): 4.862 4.318 4.862 90.00 90.00 90.00
Sites, in units of the cell vectors:
1 Sc 0.000 0.500 0.000
2 Sb 0.000 0.000 0.500
3 Sb 0.500 0.000 0.000
4 S 0.500 0.500 0.500
5 N 0.000 0.000 0.000

=====

Q: Number 3 is which compound?
A: ScSb2SN

=====

Q: What is the formula in the second record?
A: NbTe2I2